Record 1
The following is a DFT calculation (SCAN) of a PBEsol-optimized structure of YTc2Se.

## Properties
E_tot: -29.54 eV per atom
calculated volume: 17.43 Å³/atom
E_form (uncorrected): -0.027 eV per atom
magnetization: 0.0 μB/f.u.

```
YTc2Se
1.0
-1.8673 1.8673 4.9975
1.8673 -1.8673 4.9975
1.8673 1.8673 -4.9975
Y Tc Se
1 2 1
Cartesian
0.0000 0.0000 0.0000
1.8673 0.0000 2.4987
0.0000 1.8673 2.4987
0.0000 0.0000 4.9975
```

---

Record 2
The following is a DFT calculation (SCAN) of a PBEsol-optimized structure of Y2TcSe.

## Properties
E_tot: -28.29 eV per atom
calculated volume: 22.66 Å³/atom
E_form (uncorrected): -0.587 eV per atom
magnetization: 0.7 μB/f.u.

```
Y2TcSe
1.0
3.6980 0.0000 0.0000
0.0000 4.3354 0.0000
0.0000 0.0000 5.6539
Y Tc Se
2 1 1
Cartesian
0.0000 0.0000 0.0000
1.8490 2.1677 2.4599
0.0000 0.0000 2.5565
1.8490 2.1677 5.2731
```

---

Record 3
The following is a DFT calculation (SCAN) of a PBEsol-optimized structure of YTc2Se.

## Properties
E_tot: -29.26 eV per atom
calculated volume: 16.91 Å³/atom
E_form (uncorrected): 0.246 eV per atom
magnetization: 0.0 μB/f.u.

```
YTc2Se
1.0
3.1624 0.0000 0.0000
0.0000 3.1624 0.0000
0.0000 0.0000 6.7624
Y Tc Se
1 2 1
Cartesian
0.0000 0.0000 0.0000
1.5812 1.5812 1.9686
1.5812 1.5812 4.7938
0.0000 0.0000 3.3812
```

---

Record 4
The following is a DFT calculation (SCAN) of a PBEsol-optimized structure of ZnTcSe.

## Properties
E_tot: -22.91 eV per atom
calculated volume: 16.24 Å³/atom
E_form (uncorrected): -0.028 eV per atom
relative energy among the computed polymorphs: 0.000 eV per atom
magnetization: 0.0 μB/f.u.

```
ZnTcSe
1.0
3.0454 0.0000 0.0000
-1.5227 2.6374 0.0000
0.0000 0.0000 6.0662
Zn Tc Se
1 1 1
Cartesian
0.0000 0.0000 0.0000
0.0000 1.7583 1.9782
1.5227 0.8791 3.6406
```